CaDyAl2: optimized geometry, PBE.

Output
M_tot ... 0.000 μB per atom
ΔE to the lowest computed polymorph ... 0.00 kcal/mol of atoms
SG ... P4/mmm (123)
Total DFT energy (no corrections) ... -15.3 eV per formula unit
ΔE_f ... -0.295 eV per atom

The structure in extended XYZ format:
```
4
Lattice="3.627 0.000 0.000 0.000 3.627 0.000 0.000 0.000 7.405" Properties=species:S:1:pos:R:3 pbc="T T T"
Ca 0.000 0.000 0.000
Dy 0.000 0.000 3.702
Al 1.814 1.814 1.918
Al 1.814 1.814 5.486
```

=====

CaDyAl2: optimized geometry, PBE.

Output
M_tot ... 0.000 μB per atom
ΔE to the lowest computed polymorph ... 0.68 kcal/mol of atoms
SG ... Fm-3m (225)
Total DFT energy (no corrections) ... -15.2 eV per formula unit
ΔE_f ... -0.266 eV per atom

The structure in extended XYZ format:
```
4
Lattice="0.000 3.649 3.649 3.649 0.000 3.649 3.649 3.649 0.000" Properties=species:S:1:pos:R:3 pbc="T T T"
Ca 0.000 0.000 0.000
Dy 3.649 3.649 3.649
Al 1.825 1.825 1.825
Al 5.474 5.474 5.474
```

=====

CaDy2Al6: optimized geometry, PBE.

Output
M_tot ... 0.000 μB per atom
SG ... P6/mmm (191)
Total DFT energy (no corrections) ... -37.3 eV per formula unit
ΔE_f ... -0.406 eV per atom

The structure in extended XYZ format:
```
9
Lattice="7.942 0.000 0.000 -3.971 6.878 0.000 0.000 0.000 3.522" Properties=species:S:1:pos:R:3 pbc="T T T"
Ca 0.000 0.000 0.000
Dy 0.000 4.585 0.000
Dy 3.971 2.293 0.000
Al -1.330 2.304 1.761
Al -2.641 4.574 1.761
Al 2.660 0.000 1.761
Al 1.330 2.304 1.761
Al 5.282 0.000 1.761
Al 2.641 4.574 1.761
```

=====

CaDy2Al9: optimized geometry, PBE.

Output
M_tot ... 0.000 μB per atom
SG ... R-3m (166)
Total DFT energy (no corrections) ... -48.8 eV per formula unit
ΔE_f ... -0.330 eV per atom

The structure in extended XYZ format:
```
12
Lattice="2.807 1.621 8.770 -2.807 1.621 8.770 0.000 -3.241 8.770" Properties=species:S:1:pos:R:3 pbc="T T T"
Ca 0.000 0.000 0.000
Dy 0.000 0.000 3.741
Dy 0.000 0.000 22.570
Al -1.437 -0.830 10.991
Al 0.000 0.000 8.827
Al 0.000 -1.659 15.320
Al -1.437 0.830 15.320
Al 0.000 0.000 13.156
Al 1.437 -0.830 10.991
Al 0.000 1.659 10.991
Al 0.000 0.000 17.484
Al 1.437 0.830 15.320
```

=====

CaDy5Al4: optimized geometry, PBE.

Output
M_tot ... 0.000 μB per atom
SG ... P4/mmm (123)
Total DFT energy (no corrections) ... -43.0 eV per formula unit
ΔE_f ... -0.301 eV per atom

The structure in extended XYZ format:
```
10
Lattice="3.579 0.000 0.000 0.000 3.579 0.000 0.000 0.000 20.226" Properties=species:S:1:pos:R:3 pbc="T T T"
Ca 0.000 0.000 0.000
Dy 1.790 1.790 2.848
Dy 1.790 1.790 6.479
Dy 1.790 1.790 10.113
Dy 1.790 1.790 13.748
Dy 1.790 1.790 17.378
Al 0.000 0.000 4.635
Al 0.000 0.000 8.295
Al 0.000 0.000 11.931
Al 0.000 0.000 15.591
```

=====

CaDy4Al5: optimized geometry, PBE.

Output
M_tot ... 0.000 μB per atom
SG ... P4/mmm (123)
Total DFT energy (no corrections) ... -42.6 eV per formula unit
ΔE_f ... -0.352 eV per atom

The structure in extended XYZ format:
```
10
Lattice="3.593 0.000 0.000 0.000 3.593 0.000 0.000 0.000 18.355" Properties=species:S:1:pos:R:3 pbc="T T T"
Ca 0.000 0.000 0.000
Dy 0.000 0.000 3.743
Dy 0.000 0.000 7.378
Dy 0.000 0.000 10.977
Dy 0.000 0.000 14.612
Al 1.796 1.796 1.931
Al 1.796 1.796 5.561
Al 1.796 1.796 9.178
Al 1.796 1.796 12.794
Al 1.796 1.796 16.424
```

=====

CaDyAl2: optimized geometry, PBE.

Output
M_tot ... 0.000 μB per atom
ΔE to the lowest computed polymorph ... 5.89 kcal/mol of atoms
SG ... R-3m (166)
Total DFT energy (no corrections) ... -14.2 eV per formula unit
ΔE_f ... -0.040 eV per atom

The structure in extended XYZ format:
```
4
Lattice="1.776 1.025 9.690 -1.776 1.025 9.690 0.000 -2.051 9.690" Properties=species:S:1:pos:R:3 pbc="T T T"
Ca 0.000 0.000 0.000
Dy 0.000 0.000 14.535
Al 0.000 0.000 7.213
Al 0.000 0.000 21.857
```

=====

Ca2DyAl9: optimized geometry, PBE.

Output
M_tot ... 0.000 μB per atom
SG ... R-3m (166)
Total DFT energy (no corrections) ... -45.5 eV per formula unit
ΔE_f ... -0.269 eV per atom

The structure in extended XYZ format:
```
12
Lattice="2.792 1.612 8.945 -2.792 1.612 8.945 0.000 -3.224 8.945" Properties=species:S:1:pos:R:3 pbc="T T T"
Ca 0.000 0.000 3.811
Ca 0.000 0.000 23.024
Dy 0.000 0.000 0.000
Al -1.414 -0.817 11.136
Al 0.000 0.000 8.987
Al 0.000 -1.633 15.699
Al -1.414 0.817 15.699
Al 0.000 0.000 13.418
Al 1.414 -0.817 11.136
Al 0.000 1.633 11.136
Al 0.000 0.000 17.848
Al 1.414 0.817 15.699
```

=====

Among the records above, which one has the highest total DFT energy (no corrections)?
number 7

=====

Which formula does entry 5 have?
CaDy5Al4